Record 1
Compound: ScTcSe
Source: the Alexandria database
Functional: PBE
Structure: relaxed

a b c (Å): 3.378 3.378 5.663
angles (deg): 90.00 90.00 120.00
Positions (direct):
Sc 0.000 0.000 0.002
Se 0.667 0.333 0.354
Tc 0.333 0.667 0.644

The space group is No. 156. For the energy above the most stable polymorph in this dataset, the calculation gives 62 kJ/mol of formula units. As for the crystal system: trigonal.

Record 2
Compound: ScTc4Se
Source: the Alexandria database
Functional: PBE
Structure: relaxed

a b c (Å): 5.224 5.224 5.224
angles (deg): 60.00 60.00 60.00
Positions (direct):
Sc 0.750 0.750 0.750
Tc 0.878 0.374 0.374
Tc 0.374 0.374 0.878
Tc 0.374 0.878 0.374
Tc 0.374 0.374 0.374
Se 0.000 0.000 0.000

The space group is No. 216. As for the crystal system: cubic.

The evaluated final energy for the records listed, in turn: -6.954, -8.334 eV per atom.
The evaluated E_form (uncorrected) for the records listed, in turn: -0.226, 0.213 eV/atom.